--- A ---
Computed, not measured: crystalline SrLi3Sc at its relaxed geometry at the PBE level of DFT.

Cell lengths 5.465, 5.465, 5.465 Å; angles 90.00, 90.00, 90.00 degrees
Space group Pm-3m (No. 221)
Inequivalent atoms, fractional coordinates:
1 Sr 0.000 0.000 0.000
2 Li 0.000 0.500 0.500
3 Sc 0.500 0.500 0.500



--- B ---
Computed, not measured: crystalline SrLi3Sc at its relaxed geometry at the PBE level of DFT.

Cell lengths 5.281, 5.281, 5.281 Å; angles 90.00, 90.00, 90.00 degrees
Space group Pm-3m (No. 221)
Inequivalent atoms, fractional coordinates:
1 Sr 0.000 0.000 0.000
2 Li 0.000 0.000 0.500
3 Sc 0.500 0.500 0.500



A is preferred energetically. Next in line: 337 meV/atom higher.